Material: Tb2BiP
Method: DFT, PBE
State: optimized geometry

Fermi-level density of states: 0.908 states/eV per atom
formation energy from the elements: -1.128 eV/atom
total DFT energy (no corrections): -5.766 eV/atom

Unit cell a=7.9949 b=7.9949 c=7.9949 alpha=29.37 beta=29.37 gamma=29.37
Last column: nearest neighbours and their distance in Å.
Atoms (fractional coordinates):
Tb 0.0000 0.0000 0.0000  3 P 2.83
Tb 0.1969 0.1969 0.1969  3 P 2.80
Bi 0.7659 0.7659 0.7659  6 Tb 3.24-3.27
P 0.5970 0.5970 0.5970  6 Tb 2.80-2.83

---

Material: Rb5Se2I12
Method: DFT, PBE
State: optimized geometry

Fermi-level density of states: 0.625 states/eV per atom
raw formation energy: -0.61 eV per atom
total DFT energy (no corrections): -2.206 eV/atom

Unit cell a=11.8771 b=11.8771 c=9.1198 alpha=106.24 beta=106.24 gamma=48.71
Last column: nearest neighbours and their distance in Å.
Atoms (fractional coordinates):
Rb 0.0000 0.0000 0.0000  6 I 3.83-3.98
Rb 0.2709 0.2709 0.5987  7 I 3.63-3.85
Rb 0.3142 0.3142 0.1374  8 I 3.84-4.05
Rb 0.6858 0.6858 0.8626  8 I 3.84-4.05
Rb 0.7291 0.7291 0.4013  7 I 3.63-3.85
Se 0.3852 0.6148 0.5000  1 Se 2.25
Se 0.6148 0.3852 0.5000  1 Se 2.25
I 0.0574 0.6317 0.8635  2 I 3.48-3.60, 2 Rb 3.73-3.83
I 0.0968 0.6383 0.4894  1 Se 3.22, 2 I 3.59-3.60
I 0.1476 0.1476 0.8263  4 I 3.48-3.59, 2 Rb 3.84-3.85
I 0.3617 0.9032 0.5106  1 Se 3.22, 2 I 3.59-3.60
I 0.3683 0.9426 0.1365  2 I 3.48-3.60, 2 Rb 3.73-3.83
I 0.4992 0.4992 0.8490  1 I 2.74
I 0.5008 0.5008 0.1510  1 I 2.74
I 0.6317 0.0574 0.8635  2 I 3.48-3.60, 2 Rb 3.73-3.83
I 0.6383 0.0968 0.4894  1 Se 3.22, 2 I 3.59-3.60
I 0.8524 0.8524 0.1737  4 I 3.48-3.59, 2 Rb 3.84-3.85
I 0.9032 0.3617 0.5106  1 Se 3.22, 2 I 3.59-3.60
I 0.9426 0.3683 0.1365  2 I 3.48-3.60, 2 Rb 3.73-3.83